Run one
A relaxed structure of LiCoRh2. Source: the Alexandria database, functional GGA-PBE.

Crystal system: cubic
Volume in Å³/cell: 204.05

abc: 5.887 5.887 5.887
angles: 90.00 90.00 90.00
Space group Fm-3m (No. 225)
Inequivalent atoms, fractional coordinates:
Li 0.000 0.000 0.000 [4 per cell]
Co 0.000 0.000 0.500 [4 per cell]
Rh 0.250 0.250 0.250 [8 per cell]

Run two
A relaxed structure of LiCoRh2. Source: the Alexandria database, functional GGA-PBE.

Crystal system: tetragonal
Volume in Å³/cell: 51.55

abc: 2.750 2.750 6.818
angles: 90.00 90.00 90.00
Space group P4mm (No. 99)
Inequivalent atoms, fractional coordinates:
Li 0.000 0.000 0.000 [1 per cell]
Co 0.500 0.500 0.764 [1 per cell]
Rh 0.000 0.000 0.524 [1 per cell]
Rh 0.500 0.500 0.248 [1 per cell]

Winner for stability: run one

Run one
A relaxed structure of LiCoRh2. Source: the Alexandria database, functional GGA-PBE.

Crystal system: tetragonal
Volume in Å³/cell: 100.77

abc: 3.612 3.612 7.724
angles: 90.00 90.00 90.00
Space group I-4m2 (No. 119)
Inequivalent atoms, fractional coordinates:
Li 0.000 0.000 0.000 [2 per cell]
Co 0.000 0.500 0.250 [2 per cell]
Rh 0.000 0.000 0.500 [2 per cell]
Rh 0.000 0.500 0.750 [2 per cell]

Run two
A relaxed structure of LiCoRh2. Source: the Alexandria database, functional GGA-PBE.

Crystal system: orthorhombic
Volume in Å³/cell: 107.09

abc: 2.760 4.517 8.589
angles: 90.00 90.00 90.00
Space group Immm (No. 71)
Inequivalent atoms, fractional coordinates:
Li 0.000 0.000 0.000 [2 per cell]
Co 0.000 0.000 0.500 [2 per cell]
Rh 0.000 0.500 0.240 [4 per cell]

Winner for stability: run one

Run one
A relaxed structure of LiCoRh2. Source: the Alexandria database, functional GGA-PBE.

Crystal system: orthorhombic
Volume in Å³/cell: 101.69

abc: 2.848 4.189 8.524
angles: 90.00 90.00 90.00
Space group Imm2 (No. 44)
Inequivalent atoms, fractional coordinates:
Li 0.000 0.000 0.000 [2 per cell]
Co 0.000 0.500 0.260 [2 per cell]
Rh 0.000 0.000 0.513 [2 per cell]
Rh 0.000 0.500 0.751 [2 per cell]

Run two
A relaxed structure of LiCoRh2. Source: the Alexandria database, functional GGA-PBE.

Crystal system: monoclinic
Volume in Å³/cell: 102.56

abc: 8.841 2.668 4.416
angles: 90.00 100.10 90.00
Space group Cm (No. 8)
Inequivalent atoms, fractional coordinates:
Li 0.000 0.000 0.000 [2 per cell]
Co 0.243 0.000 0.737 [2 per cell]
Rh 0.002 0.500 0.508 [2 per cell]
Rh 0.256 0.500 0.238 [2 per cell]

Winner for stability: run two

Run one
A relaxed structure of LiCoRh. Source: the Alexandria database, functional GGA-PBE.

Crystal system: tetragonal
Volume in Å³/cell: 74.07

abc: 2.965 2.965 8.424
angles: 90.00 90.00 90.00
Space group I4mm (No. 107)
Inequivalent atoms, fractional coordinates:
Li 0.000 0.000 0.000 [2 per cell]
Co 0.000 0.000 0.336 [2 per cell]
Rh 0.000 0.000 0.673 [2 per cell]

Run two
A relaxed structure of LiCoRh. Source: the Alexandria database, functional GGA-PBE.

Crystal system: cubic
Volume in Å³/cell: 174.86

abc: 5.592 5.592 5.592
angles: 90.00 90.00 90.00
Space group F-43m (No. 216)
Inequivalent atoms, fractional coordinates:
Li 0.000 0.000 0.000 [4 per cell]
Co 0.250 0.250 0.750 [4 per cell]
Rh 0.000 0.000 0.500 [4 per cell]

Run three
A relaxed structure of LiCoRh. Source: the Alexandria database, functional GGA-PBE.

Crystal system: orthorhombic
Volume in Å³/cell: 158.62

abc: 2.741 4.421 13.088
angles: 90.00 90.00 90.00
Space group Fmm2 (No. 42)
Inequivalent atoms, fractional coordinates:
Li 0.000 0.000 0.000 [4 per cell]
Co 0.000 0.000 0.669 [4 per cell]
Rh 0.000 0.000 0.330 [4 per cell]

Run four
A relaxed structure of LiCoRh. Source: the Alexandria database, functional GGA-PBE.

Crystal system: orthorhombic
Volume in Å³/cell: 75.13

abc: 2.642 3.744 7.594
angles: 90.00 90.00 90.00
Space group Imm2 (No. 44)
Inequivalent atoms, fractional coordinates:
Li 0.000 0.000 0.000 [2 per cell]
Co 0.000 0.000 0.328 [2 per cell]
Rh 0.000 0.000 0.672 [2 per cell]

Winner for stability: run four

Run one
A relaxed structure of LiCo2Rh2. Source: the Alexandria database, functional GGA-PBE.

Crystal system: tetragonal
Volume in Å³/cell: 139.80

abc: 7.290 7.290 2.631
angles: 90.00 90.00 90.00
Space group P4/mbm (No. 127)
Inequivalent atoms, fractional coordinates:
Li 0.000 0.000 0.000 [2 per cell]
Co 0.166 0.334 0.500 [4 per cell]
Rh 0.131 0.631 0.000 [4 per cell]

Run two
A relaxed structure of LiCo2Rh2. Source: the Alexandria database, functional GGA-PBE.

Crystal system: tetragonal
Volume in Å³/cell: 137.47

abc: 7.211 7.211 2.644
angles: 90.00 90.00 90.00
Space group P4/mbm (No. 127)
Inequivalent atoms, fractional coordinates:
Li 0.000 0.000 0.000 [2 per cell]
Co 0.121 0.379 0.000 [4 per cell]
Rh 0.173 0.673 0.500 [4 per cell]

Winner for stability: run two

Run one
A relaxed structure of LiCoRu. Source: the Alexandria database, functional GGA-PBE.

Crystal system: orthorhombic
Volume in Å³/cell: 136.71

abc: 4.443 4.673 6.584
angles: 90.00 90.00 90.00
Space group Imma (No. 74)
Inequivalent atoms, fractional coordinates:
Li 0.250 0.250 0.250 [4 per cell]
Co 0.000 0.000 0.000 [4 per cell]
Ru 0.000 0.250 0.634 [4 per cell]

Run two
A relaxed structure of LiCoRu. Source: the Alexandria database, functional GGA-PBE.

Crystal system: hexagonal
Volume in Å³/cell: 72.01

abc: 4.1238 4.1238 4.8895
angles: 90.00 90.00 120.00
Space group P6/mmm (No. 191)
Inequivalent atoms, fractional coordinates:
Li 0.3333 0.6667 0.0000 [2 per cell]
Co 0.3333 0.6667 0.5000 [2 per cell]
Ru 0.0000 0.0000 0.2446 [2 per cell]

Winner for stability: run two

Run one
A relaxed structure of LiCoRu. Source: the Alexandria database, functional GGA-PBE.

Crystal system: tetragonal
Volume in Å³/cell: 76.01

abc: 2.665 2.665 10.701
angles: 90.00 90.00 90.00
Space group I4mm (No. 107)
Inequivalent atoms, fractional coordinates:
Li 0.000 0.000 0.000 [2 per cell]
Co 0.000 0.000 0.333 [2 per cell]
Ru 0.000 0.000 0.685 [2 per cell]

Run two
A relaxed structure of LiCoRu. Source: the Alexandria database, functional GGA-PBE.

Crystal system: orthorhombic
Volume in Å³/cell: 169.52

abc: 6.651 3.860 6.603
angles: 90.00 90.00 90.00
Space group Pnma (No. 62)
Inequivalent atoms, fractional coordinates:
Li 0.010 0.250 0.162 [4 per cell]
Co 0.178 0.750 0.399 [4 per cell]
Ru 0.164 0.250 0.592 [4 per cell]

Run three
A relaxed structure of LiCoRu. Source: the Alexandria database, functional GGA-PBE.

Crystal system: monoclinic
Volume in Å³/cell: 143.83

abc: 8.590 4.040 5.017
angles: 90.00 124.28 90.00
Space group Cm (No. 8)
Inequivalent atoms, fractional coordinates:
Li 0.000 0.000 0.000 [2 per cell]
Li 0.134 0.500 0.259 [2 per cell]
Co 0.319 0.000 0.143 [2 per cell]
Co 0.462 0.500 0.460 [2 per cell]
Ru 0.149 0.500 0.770 [2 per cell]
Ru 0.312 0.000 0.640 [2 per cell]

Winner for stability: run three

Run one
A relaxed structure of LiCo2Ru. Source: the Alexandria database, functional GGA-PBE.

Crystal system: cubic
Volume in Å³/cell: 190.55

abc: 5.754 5.754 5.754
angles: 90.00 90.00 90.00
Space group Fm-3m (No. 225)
Inequivalent atoms, fractional coordinates:
Li 0.000 0.000 0.000 [4 per cell]
Co 0.250 0.250 0.250 [8 per cell]
Ru 0.000 0.000 0.500 [4 per cell]

Run two
A relaxed structure of LiCo2Ru. Source: the Alexandria database, functional GGA-PBE.

Crystal system: monoclinic
Volume in Å³/cell: 95.24

abc: 8.542 2.494 4.501
angles: 90.00 96.64 90.00
Space group C2/m (No. 12)
Inequivalent atoms, fractional coordinates:
Li 0.000 0.000 0.000 [2 per cell]
Co 0.245 0.000 0.751 [4 per cell]
Ru 0.000 0.500 0.500 [2 per cell]

Run three
A relaxed structure of LiCo2Ru. Source: the Alexandria database, functional GGA-PBE.

Crystal system: orthorhombic
Volume in Å³/cell: 96.53

abc: 5.144 7.415 2.531
angles: 90.00 90.00 90.00
Space group Cmmm (No. 65)
Inequivalent atoms, fractional coordinates:
Li 0.000 0.000 0.000 [2 per cell]
Co 0.250 0.250 0.500 [4 per cell]
Ru 0.000 0.500 0.000 [2 per cell]

Run four
A relaxed structure of LiCo2Ru. Source: the Alexandria database, functional GGA-PBE.

Crystal system: orthorhombic
Volume in Å³/cell: 101.96

abc: 2.695 4.330 8.737
angles: 90.00 90.00 90.00
Space group Cmmm (No. 65)
Inequivalent atoms, fractional coordinates:
Li 0.000 0.000 0.000 [2 per cell]
Co 0.000 0.500 0.252 [4 per cell]
Ru 0.000 0.000 0.500 [2 per cell]

Winner for stability: run three

Run one
A relaxed structure of LiCo2Ru. Source: the Alexandria database, functional GGA-PBE.

Crystal system: tetragonal
Volume in Å³/cell: 49.76

abc: 2.551 2.551 7.649
angles: 90.00 90.00 90.00
Space group P4mm (No. 99)
Inequivalent atoms, fractional coordinates:
Li 0.000 0.000 0.000 [1 per cell]
Co 0.000 0.000 0.522 [1 per cell]
Co 0.500 0.500 0.736 [1 per cell]
Ru 0.500 0.500 0.277 [1 per cell]

Run two
A relaxed structure of LiCo2Ru. Source: the Alexandria database, functional GGA-PBE.

Crystal system: orthorhombic
Volume in Å³/cell: 100.75

abc: 2.678 4.319 8.711
angles: 90.00 90.00 90.00
Space group Cmm2 (No. 35)
Inequivalent atoms, fractional coordinates:
Li 0.000 0.000 0.000 [2 per cell]
Co 0.000 0.000 0.517 [2 per cell]
Co 0.000 0.500 0.745 [2 per cell]
Ru 0.000 0.500 0.264 [2 per cell]

Winner for stability: run one

Run one
A relaxed structure of LiCo2Ru. Source: the Alexandria database, functional GGA-PBE.

Crystal system: orthorhombic
Volume in Å³/cell: 47.01

abc: 2.541 3.771 4.906
angles: 90.00 90.00 90.00
Space group Pmmm (No. 47)
Inequivalent atoms, fractional coordinates:
Li 0.000 0.000 0.000 [1 per cell]
Co 0.500 0.500 0.247 [2 per cell]
Ru 0.000 0.000 0.500 [1 per cell]

Run two
A relaxed structure of LiCo2Ru. Source: the Alexandria database, functional GGA-PBE.

Crystal system: tetragonal
Volume in Å³/cell: 47.22

abc: 2.640 2.640 6.777
angles: 90.00 90.00 90.00
Space group P4/mmm (No. 123)
Inequivalent atoms, fractional coordinates:
Li 0.000 0.000 0.000 [1 per cell]
Co 0.500 0.500 0.252 [2 per cell]
Ru 0.000 0.000 0.500 [1 per cell]

Run three
A relaxed structure of LiCo2Ru. Source: the Alexandria database, functional GGA-PBE.

Crystal system: tetragonal
Volume in Å³/cell: 208.97

abc: 6.529 6.529 4.902
angles: 90.00 90.00 90.00
Space group I-42d (No. 122)
Inequivalent atoms, fractional coordinates:
Li 0.000 0.000 0.000 [4 per cell]
Co 0.246 0.750 0.625 [8 per cell]
Ru 0.000 0.000 0.500 [4 per cell]

Winner for stability: run one